First-principles (PBE) data for a geometry-optimized La2PrGa4 structure, as listed in the Alexandria database.

SG   Immm, No. 71
DOS at the Fermi energy   5.1 states/eV per cell
ΔE_f   -0.6361 eV/atom

Structure (POSCAR):
```
La2PrGa4
1.0
-1.400 2.058 3.463
-2.005 -3.720 1.400
9.670 -1.688 2.286
Ga La Pr
4 2 1
direct
0.638 0.638 0.277
0.064 0.564 0.129
0.936 0.436 0.871
0.362 0.362 0.723
0.816 0.816 0.632
0.184 0.184 0.368
0.500 0.000 0.000
```